Record 1
A plane-wave DFT calculation with GGA-PBE was carried out for a relaxed structure of La2NpAgO8.

For the uncorrected formation energy, the calculation gives -233 kJ per mole of atoms.

```
data_La2NpAgO8
_cell_length_a 4.399
_cell_length_b 5.455
_cell_length_c 7.737
_cell_angle_alpha 81.24
_cell_angle_beta 86.42
_cell_angle_gamma 81.54
_symmetry_space_group_name_H-M 'P -1'
_symmetry_Int_Tables_number 2
loop_
_symmetry_equiv_pos_as_xyz
'x,y,z'
'-x,-y,-z'
loop_
_atom_site_label
_atom_site_type_symbol
_atom_site_fract_x
_atom_site_fract_y
_atom_site_fract_z
La1 La 0.031 0.050 0.237
Np1 Np 0.500 0.500 0.500
Ag1 Ag 0.500 0.500 0.000
O1 O 0.097 0.717 0.510
O2 O 0.145 0.765 0.037
O3 O 0.411 0.227 0.672
O4 O 0.460 0.315 0.253
```

=====

Record 2
A plane-wave DFT calculation with GGA-PBE was carried out for a relaxed structure of Nd2Cd3Sn3.

The formation energy comes out at -0.4836 eV per atom. The calculation puts the density of states at the Fermi level at 3.52 states/eV/f.u.

```
data_Nd2Cd3Sn3
_cell_length_a 4.694
_cell_length_b 4.840
_cell_length_c 9.080
_cell_angle_alpha 90.00
_cell_angle_beta 90.00
_cell_angle_gamma 90.00
_symmetry_space_group_name_H-M 'P m m m'
_symmetry_Int_Tables_number 47
loop_
_symmetry_equiv_pos_as_xyz
'x,y,z'
'-x,-y,-z'
'-x,-y,z'
'x,y,-z'
'x,-y,-z'
'-x,y,z'
'-x,y,-z'
'x,-y,z'
loop_
_atom_site_label
_atom_site_type_symbol
_atom_site_fract_x
_atom_site_fract_y
_atom_site_fract_z
Nd1 Nd 0.000 0.000 0.245
Cd1 Cd 0.000 0.500 0.500
Cd2 Cd 0.500 0.500 0.259
Sn1 Sn 0.000 0.500 0.000
Sn2 Sn 0.500 0.000 0.000
Sn3 Sn 0.500 0.000 0.500
```

=====

Record 3
A plane-wave DFT calculation with GGA-PBE was carried out for a relaxed structure of La3DyHo4.

The calculation puts the distance to the lowest polymorph of the same formula at 106 meV/atom. The formation energy comes out at 0.1385 eV per atom. The calculation puts the density of states at the Fermi level at 13.14 states/eV/f.u.

```
data_La3DyHo4
_cell_length_a 3.501
_cell_length_b 11.802
_cell_length_c 13.120
_cell_angle_alpha 90.00
_cell_angle_beta 90.00
_cell_angle_gamma 90.00
_symmetry_space_group_name_H-M 'I m m m'
_symmetry_Int_Tables_number 71
_symmetry_space_group_name_Hall '-I 2 2'
loop_
_atom_site_label
_atom_site_type_symbol
_atom_site_fract_x
_atom_site_fract_y
_atom_site_fract_z
La1 La 0.000 0.000 0.000
La2 La 0.000 0.500 0.244
Dy1 Dy 0.000 0.000 0.500
Ho1 Ho 0.000 0.245 0.366
```

=====

Record 4
A plane-wave DFT calculation with GGA-PBE was carried out for a relaxed structure of LiMg2Sn3.

The calculation puts the distance to the lowest polymorph of the same formula at 0 meV/atom. The formation energy comes out at -0.1852 eV per atom. The calculation puts the density of states at the Fermi level at 2.18 states/eV/f.u.

```
data_LiMg2Sn3
_cell_length_a 4.620
_cell_length_b 14.520
_cell_length_c 8.275
_cell_angle_alpha 90.00
_cell_angle_beta 90.00
_cell_angle_gamma 90.00
_symmetry_space_group_name_H-M 'C m m m'
_symmetry_Int_Tables_number 65
_symmetry_space_group_name_Hall '-C 2 2'
loop_
_atom_site_label
_atom_site_type_symbol
_atom_site_fract_x
_atom_site_fract_y
_atom_site_fract_z
Li1 Li 0.000 0.167 0.000
Mg1 Mg 0.000 0.166 0.500
Mg2 Mg 0.000 0.500 0.000
Mg3 Mg 0.000 0.500 0.500
Sn1 Sn 0.000 0.000 0.249
Sn2 Sn 0.000 0.331 0.246
```

=====

For each record above, in turn, the calculated V values are 181.3, 206.3, 542.0, 555.2 Å³/cell.
For each record above, in turn, the calculated energy values are -94.327, -28.158, -73.175, -72.890 eV per cell.
For each record above, in turn, the calculated magnetic moment values are 0.00, 0.00, 0.00, 0.00 μB per cell.